1.
A plane-wave DFT calculation with PBE-GGA was carried out for a relaxed Ag2Pd8Pb3 crystal.

Computed properties:
Space group   R-3m, No. 166
ΔE_f   0.01 eV/atom
Calculated total energy   -58.23 eV/f.u.

abc: 10.6281 10.6281 10.6281
angles: 29.28 29.28 29.28
With the nearest neighbours (Å) after each atom.
Sites, in units of the cell vectors:
Ag1 0.1386 0.1386 0.1386  4 Pd 2.67-2.79
Ag2 0.8614 0.8614 0.8614  4 Pd 2.67-2.79
Pd1 0.2261 0.2261 0.2261  1 Ag 2.67, 1 Pb 2.69
Pd2 0.2299 0.2299 0.7287  4 Pd 2.68-2.69, 1 Ag 2.79, 3 Pb 2.94-3.00
Pd3 0.2299 0.7287 0.2299  4 Pd 2.68-2.69, 1 Ag 2.79, 3 Pb 2.94-3.00
Pd4 0.2713 0.7701 0.7701  4 Pd 2.68-2.69, 1 Ag 2.79, 3 Pb 2.94-3.00
Pd5 0.7287 0.2299 0.2299  4 Pd 2.68-2.69, 1 Ag 2.79, 3 Pb 2.94-3.00
Pd6 0.7701 0.2713 0.7701  4 Pd 2.68-2.69, 1 Ag 2.79, 3 Pb 2.94-3.00
Pd7 0.7701 0.7701 0.2713  4 Pd 2.68-2.69, 1 Ag 2.79, 3 Pb 2.94-3.00
Pd8 0.7739 0.7739 0.7739  1 Ag 2.67, 1 Pb 2.69
Pb1 0.3142 0.3142 0.3142  10 Pd 2.69-3.00
Pb2 0.5000 0.5000 0.5000  6 Ag 3.22, 12 Pd 3.52-3.59
Pb3 0.6858 0.6858 0.6858  10 Pd 2.69-3.00

2.
A plane-wave DFT calculation with PBE-GGA was carried out for a relaxed KNaGeAu2 crystal.

Computed properties:
Space group   P4/mmm, No. 123
ΔE_f   -0.15 eV/atom
Calculated total energy   -14.34 eV/f.u.

abc: 5.0461 5.0461 5.4763
angles: 90.00 90.00 90.00
With the nearest neighbours (Å) after each atom.
Sites, in units of the cell vectors:
K1 0.0000 0.0000 0.0000  4 Na 3.57, 8 Au 3.72
Na1 0.5000 0.5000 0.0000  2 Ge 2.74
Ge1 0.5000 0.5000 0.5000  4 Au 2.52, 2 Na 2.74
Au1 0.0000 0.5000 0.5000  2 Ge 2.52
Au2 0.5000 0.0000 0.5000  2 Ge 2.52